1.
Material: Tl2CuSeI
Method: DFT, PBE
State: relaxed

Summary:
* formation energy without anion corrections: -245 meV/atom
* E_tot: -3.02 eV per atom
* polymorph energy (0 for the lowest one): 12 meV/atom
* SG: No. 123

Cell lengths 6.4272, 6.4272, 4.4692 Å; angles 90.00, 90.00, 90.00 degrees
Fractional positions:
I: 0.5000 0.5000 0.5000
Tl: 0.0000 0.5000 0.0000
Tl: 0.5000 0.0000 0.0000
Cu: 0.0000 0.0000 0.5000
Se: 0.0000 0.0000 0.0000

---

2.
Material: CuSiI3
Method: DFT, PBE
State: relaxed

Summary:
* formation energy without anion corrections: 481 meV/atom
* E_tot: -2.35 eV per atom
* polymorph energy (0 for the lowest one): 0 meV/atom
* SG: No. 221

Cell lengths 5.5976, 5.5976, 5.5976 Å; angles 90.00, 90.00, 90.00 degrees
Fractional positions:
I: 0.0000 0.5000 0.0000
I: 0.0000 0.0000 0.5000
I: 0.5000 0.0000 0.0000
Si: 0.0000 0.0000 0.0000
Cu: 0.5000 0.5000 0.5000

---

3.
Material: Cu3SiI
Method: DFT, PBE
State: relaxed

Summary:
* formation energy without anion corrections: 544 meV/atom
* E_tot: -3.31 eV per atom
* polymorph energy (0 for the lowest one): 0 meV/atom
* SG: No. 221

Cell lengths 4.6093, 4.6093, 4.6093 Å; angles 90.00, 90.00, 90.00 degrees
Fractional positions:
I: 0.5000 0.5000 0.5000
Si: 0.0000 0.0000 0.0000
Cu: 0.0000 0.5000 0.0000
Cu: 0.0000 0.0000 0.5000
Cu: 0.5000 0.0000 0.0000